# 1
First-principles (GGA-PBE) data for a relaxed KGa2CuSe4 crystal, as listed in Alexandria.

The space group is I-42m (No. 121) and the conventional cell measures 5.809, 5.809 and 12.890 Å, with angles of 90.00, 90.00 and 90.00 degrees. The distinct sites, in fractional coordinates, are K at (0.000, 0.000, 0.000), Ga at (0.000, 0.500, 0.250), Cu at (0.000, 0.000, 0.500) and Se at (0.212, 0.212, 0.642).

The calculated total energy is -3.687 eV/atom. For the energy relative to the elements, uncorrected, the calculation gives -0.538 eV per atom.


# 2
First-principles (GGA-PBE) data for a relaxed Na2LiTl3I6 crystal, as listed in Alexandria.

The space group is C2/m (No. 12) and the conventional cell measures 8.158, 14.074 and 8.423 Å, with angles of 90.00, 108.81 and 90.00 degrees. The distinct sites, in fractional coordinates, are Na at (0.000, 0.166, 0.000), Li at (0.000, 0.500, 0.000), Tl at (0.000, 0.000, 0.500), Tl at (0.000, 0.329, 0.500), I at (0.231, 0.341, 0.214) and I at (0.247, 0.500, 0.777).

The calculated total energy is -2.677 eV/atom. For the energy relative to the elements, uncorrected, the calculation gives -0.931 eV per atom.


Which of these has the lowest calculated total energy? KGa2CuSe4


Copy entry 2 word for word.
First-principles (GGA-PBE) data for a relaxed Na2LiTl3I6 crystal, as listed in Alexandria.

The space group is C2/m (No. 12) and the conventional cell measures 8.158, 14.074 and 8.423 Å, with angles of 90.00, 108.81 and 90.00 degrees. The distinct sites, in fractional coordinates, are Na at (0.000, 0.166, 0.000), Li at (0.000, 0.500, 0.000), Tl at (0.000, 0.000, 0.500), Tl at (0.000, 0.329, 0.500), I at (0.231, 0.341, 0.214) and I at (0.247, 0.500, 0.777).

The calculated total energy is -2.677 eV/atom. For the energy relative to the elements, uncorrected, the calculation gives -0.931 eV per atom.


Which value of energy relative to the elements, uncorrected does entry 2 give? -0.931 eV per atom


Which value of calculated total energy does entry 2 give? -2.677 eV/atom